# 1
Here is crystalline LiTcTe2 at its relaxed geometry from Alexandria. Energies are from PBE.

Computed properties:
Calculated volume, Å³/atom: 21.8
Total magnetization, μB/cell: 0.0
E above lowest polymorph, eV per atom: 0.538
ΔE_f (raw), eV per atom: 0.337
Theoretical density, g/cm3: 6.9

Structure (extended XYZ):
```
4
Lattice="7.636 5.035 2.676 8.581 4.132 -0.333 6.692 6.785 0.066" Properties=species:S:1:pos:R:3 pbc="T T T"
Te 20.818 14.496 2.190
Te 2.091 1.456 0.220
Tc 0.000 0.000 0.000
Li 11.454 7.976 1.205
```



# 2
Here is crystalline Li2TcTe at its relaxed geometry from Alexandria. Energies are from PBE.

Computed properties:
Calculated volume, Å³/atom: 16.8
Total magnetization, μB/cell: 0.5
ΔE_f (raw), eV per atom: 0.128
Theoretical density, g/cm3: 5.9

Structure (extended XYZ):
```
4
Lattice="-1.785 -2.712 0.089 2.762 -1.885 -2.084 2.393 -1.429 4.464" Properties=species:S:1:pos:R:3 pbc="T T T"
Li 0.038 -0.023 0.071
Li 1.158 -0.691 2.161
Tc 1.087 -2.656 0.119
Te 2.284 -3.370 2.351
```



# 3
Here is crystalline Li2TcTe at its relaxed geometry from Alexandria. Energies are from PBE.

Computed properties:
Calculated volume, Å³/atom: 19.9
Total magnetization, μB/cell: 0.0
ΔE_f (raw), eV per atom: 0.373
Theoretical density, g/cm3: 5.0

Structure (extended XYZ):
```
4
Lattice="-0.778 1.613 -2.523 -0.576 -3.035 -0.164 -8.357 1.398 3.472" Properties=species:S:1:pos:R:3 pbc="T T T"
Li -8.301 1.388 3.448
Li -2.955 -0.330 -0.397
Tc -4.240 0.709 1.761
Te -6.751 0.305 1.180
```